This record from the Alexandria database describes ZnCr2Cl after structural relaxation. The functional is PBE-GGA. Values from VASP.

Quantum ESPRESSO input file:
```
&SYSTEM
  ibrav = 0, nat = 4, ntyp = 3
/
ATOMIC_SPECIES
Cl 35.45 Cl.upf
Zn 65.41 Zn.upf
Cr 52.00 Cr.upf
ATOMIC_POSITIONS angstrom
Cl 1.6528 2.1034 0.0059
Zn -0.9701 2.6452 1.4104
Cr 3.3057 0.5490 1.4230
Cr 0.0000 0.0000 0.0000
CELL_PARAMETERS angstrom
5.9285 0.0071 0.0185
-2.6229 4.1997 -0.0066
0.6828 1.0908 2.8275
```

Output
energy relative to the lowest polymorph listed for this composition: 0.413 eV/atom
D(E_F): 2.6 states/eV/cell
total DFT energy (no corrections): -20.27 eV/cell
energy relative to the elements, uncorrected: 525 meV/atom

---

This record from the Alexandria database describes ReGeSb3 after structural relaxation. The functional is PBE-GGA. Values from VASP.

Quantum ESPRESSO input file:
```
&SYSTEM
  ibrav = 0, nat = 5, ntyp = 3
/
ATOMIC_SPECIES
Sb 121.76 Sb.upf
Ge 72.64 Ge.upf
Re 186.21 Re.upf
ATOMIC_POSITIONS angstrom
Sb 0.0000 0.0000 2.5978
Ge 0.0000 0.0000 0.0000
Sb 2.5978 0.0000 0.0000
Sb 0.0000 2.5978 0.0000
Re 2.5978 2.5978 2.5978
CELL_PARAMETERS angstrom
5.1957 0.0000 0.0000
0.0000 5.1957 0.0000
0.0000 0.0000 5.1957
```

Output
energy relative to the lowest polymorph listed for this composition: 0.818 eV/atom
D(E_F): 3.6 states/eV/cell
total DFT energy (no corrections): -21.39 eV/cell
energy relative to the elements, uncorrected: 1609 meV/atom

---

This record from the Alexandria database describes CoPSe2 after structural relaxation. The functional is PBE-GGA. Values from VASP.

Quantum ESPRESSO input file:
```
&SYSTEM
  ibrav = 0, nat = 4, ntyp = 3
/
ATOMIC_SPECIES
Se 78.96 Se.upf
Co 58.93 Co.upf
P 30.97 P.upf
ATOMIC_POSITIONS angstrom
Se 0.0000 1.7177 0.2211
Se 0.0000 4.5753 2.0368
Co 1.7119 3.1465 1.1289
P 1.7119 9.4396 3.3868
CELL_PARAMETERS angstrom
3.4238 0.0000 0.0000
0.0000 6.3881 0.1193
0.0000 6.1980 4.3965
```

Output
D(E_F): 0.7 states/eV/cell
total DFT energy (no corrections): -19.72 eV/cell
energy relative to the elements, uncorrected: -59 meV/atom

---

This record from the Alexandria database describes Pr2MgZn3Cu4 after structural relaxation. The functional is PBE-GGA. Values from VASP.

Quantum ESPRESSO input file:
```
&SYSTEM
  ibrav = 0, nat = 10, ntyp = 4
/
ATOMIC_SPECIES
Zn 65.41 Zn.upf
Cu 63.55 Cu.upf
Pr 140.91 Pr.upf
Mg 24.30 Mg.upf
ATOMIC_POSITIONS angstrom
Zn 4.5430 -0.2430 8.9734
Cu 0.1411 -2.8667 0.3155
Pr 6.1839 -0.4570 6.2953
Cu 3.0948 -0.5395 6.9277
Cu 3.5219 -1.0019 2.5350
Zn 3.2378 0.6627 4.5736
Zn 2.0737 -1.2983 0.4893
Cu 0.0000 0.0000 0.0000
Mg 3.3789 -2.2040 4.8891
Pr 0.4328 -1.0843 3.1675
CELL_PARAMETERS angstrom
-2.2195 -2.8001 1.9770
2.5017 -2.9334 -1.3460
6.4756 1.3254 9.1472
```

Output
D(E_F): 6.8 states/eV/cell
total DFT energy (no corrections): -33.31 eV/cell

---

This record from the Alexandria database describes Y2TaBr after structural relaxation. The functional is PBE-GGA. Values from VASP.

Quantum ESPRESSO input file:
```
&SYSTEM
  ibrav = 0, nat = 4, ntyp = 3
/
ATOMIC_SPECIES
Ta 180.95 Ta.upf
Y 88.91 Y.upf
Br 79.90 Br.upf
ATOMIC_POSITIONS angstrom
Ta 2.2290 2.2094 1.4052
Y 0.3174 0.1764 0.0000
Y 3.5246 -0.6987 1.4029
Br 4.6502 2.5836 0.0000
CELL_PARAMETERS angstrom
6.5429 0.0073 -0.0024
3.4625 5.5517 0.0024
-4.2870 -4.0677 2.8081
```

Output
energy relative to the lowest polymorph listed for this composition: 0.363 eV/atom
D(E_F): 3.6 states/eV/cell
total DFT energy (no corrections): -26.12 eV/cell
energy relative to the elements, uncorrected: 83 meV/atom

---

This record from the Alexandria database describes MgCr2Cu after structural relaxation. The functional is PBE-GGA. Values from VASP.

Quantum ESPRESSO input file:
```
&SYSTEM
  ibrav = 0, nat = 4, ntyp = 3
/
ATOMIC_SPECIES
Cu 63.55 Cu.upf
Cr 52.00 Cr.upf
Mg 24.30 Mg.upf
ATOMIC_POSITIONS angstrom
Cu -2.6183 -0.1682 -0.5726
Cr -0.1214 0.0180 0.0512
Cr -3.7988 0.5639 1.6020
Mg -6.5386 0.4138 1.0806
CELL_PARAMETERS angstrom
-0.6431 1.3426 -1.9976
-0.6733 -2.2610 -0.8007
-7.8405 1.1639 3.3063
```

Output
D(E_F): 3.5 states/eV/cell
total DFT energy (no corrections): -22.96 eV/cell

---

This record from the Alexandria database describes LaNdHgGe after structural relaxation. The functional is PBE-GGA. Values from VASP.

Quantum ESPRESSO input file:
```
&SYSTEM
  ibrav = 0, nat = 4, ntyp = 4
/
ATOMIC_SPECIES
La 138.91 La.upf
Ge 72.64 Ge.upf
Nd 144.24 Nd.upf
Hg 200.59 Hg.upf
ATOMIC_POSITIONS angstrom
La -1.5740 -0.4025 2.8587
Ge -3.1479 -0.8050 5.7175
Nd -4.7219 -1.2075 8.5762
Hg 0.0000 0.0000 0.0000
CELL_PARAMETERS angstrom
-4.6673 -1.3565 2.2819
-0.0348 -2.6950 4.6440
-1.5937 2.4415 4.5089
```

Output
D(E_F): 4.0 states/eV/cell
total DFT energy (no corrections): -16.96 eV/cell

---

This record from the Alexandria database describes RbGaPb after structural relaxation. The functional is PBE-GGA. Values from VASP.

Quantum ESPRESSO input file:
```
&SYSTEM
  ibrav = 0, nat = 6, ntyp = 3
/
ATOMIC_SPECIES
Pb 207.20 Pb.upf
Rb 85.47 Rb.upf
Ga 69.72 Ga.upf
ATOMIC_POSITIONS angstrom
Pb -3.9761 -2.3381 -0.1090
Rb -7.3883 -0.8583 3.7113
Ga -4.4497 -2.8779 3.2499
Pb -1.7341 -2.6035 2.1503
Rb -2.5349 -0.9863 5.7277
Ga -4.0836 -0.4974 2.1991
CELL_PARAMETERS angstrom
-8.6723 -0.3869 0.3606
0.1640 -4.2968 -0.6673
-1.7889 -1.0359 6.2307
```

Output
D(E_F): 2.2 states/eV/cell
total DFT energy (no corrections): -15.92 eV/cell

---

This record from the Alexandria database describes TiBi2Pt2 after structural relaxation. The functional is PBE-GGA. Values from VASP.

Quantum ESPRESSO input file:
```
&SYSTEM
  ibrav = 0, nat = 10, ntyp = 3
/
ATOMIC_SPECIES
Bi 208.98 Bi.upf
Pt 195.08 Pt.upf
Ti 47.87 Ti.upf
ATOMIC_POSITIONS angstrom
Bi 5.8026 2.2796 2.1824
Pt 4.4890 0.9660 0.0000
Ti 3.5230 3.5230 0.0000
Bi 2.2796 1.2434 2.1824
Pt 6.0800 4.4890 0.0000
Pt 0.9660 2.5570 0.0000
Bi 4.7664 5.8026 2.1824
Pt 2.5570 6.0800 0.0000
Ti 0.0000 0.0000 0.0000
Bi 1.2434 4.7664 2.1824
CELL_PARAMETERS angstrom
7.0460 0.0000 0.0000
0.0000 7.0460 0.0000
0.0000 0.0000 4.3648
```

Output
D(E_F): 9.1 states/eV/cell
total DFT energy (no corrections): -57.36 eV/cell

---

This record from the Alexandria database describes Rb2ReOs after structural relaxation. The functional is PBE-GGA. Values from VASP.

Quantum ESPRESSO input file:
```
&SYSTEM
  ibrav = 0, nat = 4, ntyp = 3
/
ATOMIC_SPECIES
Os 190.23 Os.upf
Re 186.21 Re.upf
Rb 85.47 Rb.upf
ATOMIC_POSITIONS angstrom
Os 4.0562 4.0562 4.0562
Re 0.0000 0.0000 0.0000
Rb 6.0843 6.0843 6.0843
Rb 2.0281 2.0281 2.0281
CELL_PARAMETERS angstrom
0.0000 4.0562 4.0562
4.0562 0.0000 4.0562
4.0562 4.0562 0.0000
```

Output
energy relative to the lowest polymorph listed for this composition: 1.092 eV/atom
D(E_F): 14.5 states/eV/cell
total DFT energy (no corrections): -14.36 eV/cell

---

This record from the Alexandria database describes RbPuB2O8 after structural relaxation. The functional is PBE-GGA. Values from VASP.

Quantum ESPRESSO input file:
```
&SYSTEM
  ibrav = 0, nat = 12, ntyp = 4
/
ATOMIC_SPECIES
O 16.00 O.upf
B 10.81 B.upf
Rb 85.47 Rb.upf
Pu 244.00 Pu.upf
ATOMIC_POSITIONS angstrom
O -7.5901 3.5089 -2.5666
O -3.5101 0.7559 -5.6282
B -7.4013 2.2123 -1.8940
O -2.9080 1.9690 -3.6318
Rb -3.7011 1.2121 0.7591
O -5.2002 1.3835 -4.0869
Pu 0.0000 0.0000 0.0000
O -3.6379 -0.3500 -3.4880
O -7.7180 2.4030 -0.4264
O -8.3201 1.1899 -2.4228
B -3.8268 0.9466 -4.1605
O -6.0279 1.7754 -1.9676
CELL_PARAMETERS angstrom
-1.1098 2.9188 -3.9446
-2.7161 -2.1841 -3.6282
-7.4022 2.4242 1.5183
```

Output
D(E_F): 4.8 states/eV/cell
total DFT energy (no corrections): -90.38 eV/cell
energy relative to the elements, uncorrected: -1838 meV/atom

---

This record from the Alexandria database describes TbGdOsPd after structural relaxation. The functional is PBE-GGA. Values from VASP.

Quantum ESPRESSO input file:
```
&SYSTEM
  ibrav = 0, nat = 4, ntyp = 4
/
ATOMIC_SPECIES
Pd 106.42 Pd.upf
Gd 157.25 Gd.upf
Os 190.23 Os.upf
Tb 158.93 Tb.upf
ATOMIC_POSITIONS angstrom
Pd 0.0000 0.0000 0.0000
Gd 2.7613 -5.9924 -6.1499
Os 1.8409 -3.9949 -4.0999
Tb 0.9204 -1.9975 -2.0500
CELL_PARAMETERS angstrom
-1.4305 -3.6114 -3.0028
2.1514 -0.5484 -4.3790
2.9609 -3.8301 -0.8180
```

Output
D(E_F): 2.2 states/eV/cell
total DFT energy (no corrections): -37.10 eV/cell

---

This record from the Alexandria database describes Re3C after structural relaxation. The functional is PBE-GGA. Values from VASP.

Quantum ESPRESSO input file:
```
&SYSTEM
  ibrav = 0, nat = 4, ntyp = 2
/
ATOMIC_SPECIES
Re 186.21 Re.upf
C 12.01 C.upf
ATOMIC_POSITIONS angstrom
Re 2.1297 1.2296 0.8694
Re 4.2594 2.4591 1.7389
Re 6.3890 3.6887 2.6083
C 0.0000 0.0000 0.0000
CELL_PARAMETERS angstrom
4.2594 0.0000 0.0000
2.1297 3.6887 0.0000
2.1297 1.2296 3.4778
```

Output
energy relative to the lowest polymorph listed for this composition: 1.403 eV/atom
D(E_F): 5.1 states/eV/cell
total DFT energy (no corrections): -41.02 eV/cell

---

This record from the Alexandria database describes Tb6TmIn3 after structural relaxation. The functional is PBE-GGA. Values from VASP.

Quantum ESPRESSO input file:
```
&SYSTEM
  ibrav = 0, nat = 20, ntyp = 3
/
ATOMIC_SPECIES
Tb 158.93 Tb.upf
In 114.82 In.upf
Tm 168.93 Tm.upf
ATOMIC_POSITIONS angstrom
Tb -2.2856 -3.6537 5.8446
In -2.8284 -1.0239 7.6724
Tb 3.7231 -4.5700 6.8702
Tb 2.1575 2.3804 7.1025
Tb -6.7865 5.5108 6.0918
In -0.6541 1.7512 5.5479
In -0.9602 -2.4346 3.2764
Tb -0.7040 -1.6808 10.0403
In -6.1966 -0.4870 4.3345
Tb -2.9878 -0.3025 4.4831
Tb 0.5480 0.3727 2.8327
Tm 0.7129 -3.4745 7.4898
In 1.4484 0.5699 9.6660
Tm -1.2597 5.6966 3.9210
Tb -1.3783 1.7052 8.7528
Tb -3.7526 2.6498 6.2934
In -3.7879 2.5175 10.7241
Tb -0.7938 4.5863 7.1273
Tb 2.4618 -0.8065 5.5760
Tb -2.3754 2.6134 2.9315
CELL_PARAMETERS angstrom
-5.9747 -3.0422 3.6827
5.8214 -4.2537 5.9306
-2.4341 8.4791 3.0554
```

Output
energy relative to the lowest polymorph listed for this composition: 0.136 eV/atom
D(E_F): 24.7 states/eV/cell
total DFT energy (no corrections): -83.56 eV/cell

---

This record from the Alexandria database describes LiNbTcRh after structural relaxation. The functional is PBE-GGA. Values from VASP.

Quantum ESPRESSO input file:
```
&SYSTEM
  ibrav = 0, nat = 4, ntyp = 4
/
ATOMIC_SPECIES
Li 6.94 Li.upf
Nb 92.91 Nb.upf
Rh 102.91 Rh.upf
Tc 98.00 Tc.upf
ATOMIC_POSITIONS angstrom
Li 6.5436 3.7780 2.6714
Nb 2.1812 1.2593 0.8905
Rh 0.0000 0.0000 0.0000
Tc 4.3624 2.5186 1.7810
CELL_PARAMETERS angstrom
4.3624 0.0000 0.0000
2.1812 3.7780 0.0000
2.1812 1.2593 3.5619
```

Output
D(E_F): 3.8 states/eV/cell
total DFT energy (no corrections): -30.08 eV/cell

---

This record from the Alexandria database describes La4SiPBr2 after structural relaxation. The functional is PBE-GGA. Values from VASP.

Quantum ESPRESSO input file:
```
&SYSTEM
  ibrav = 0, nat = 8, ntyp = 4
/
ATOMIC_SPECIES
La 138.91 La.upf
P 30.97 P.upf
Si 28.09 Si.upf
Br 79.90 Br.upf
ATOMIC_POSITIONS angstrom
La 3.6305 2.3687 3.9964
P -1.8569 -2.3410 3.0941
La -0.7771 0.3589 2.8284
La 1.7602 0.0616 7.0446
Si 0.0000 0.0000 0.0000
Br 2.1852 -0.5729 3.8620
Br 0.6547 3.3344 2.9169
La 0.7399 -3.5144 3.7277
CELL_PARAMETERS angstrom
-3.3874 1.5662 2.1490
-0.3264 -6.2482 4.0392
4.6968 5.1025 3.6849
```

Output
D(E_F): 4.0 states/eV/cell
total DFT energy (no corrections): -44.94 eV/cell
energy relative to the elements, uncorrected: -1381 meV/atom

---

This record from the Alexandria database describes CaTaIr after structural relaxation. The functional is PBE-GGA. Values from VASP.

Quantum ESPRESSO input file:
```
&SYSTEM
  ibrav = 0, nat = 3, ntyp = 3
/
ATOMIC_SPECIES
Ir 192.22 Ir.upf
Ca 40.08 Ca.upf
Ta 180.95 Ta.upf
ATOMIC_POSITIONS angstrom
Ir 1.9108 1.1032 2.4121
Ca 0.0000 0.0000 0.3118
Ta 0.0000 2.2064 3.5171
CELL_PARAMETERS angstrom
3.8216 0.0000 0.0000
-1.9108 3.3096 0.0000
0.0000 0.0000 6.2411
```

Output
energy relative to the lowest polymorph listed for this composition: 0.556 eV/atom
D(E_F): 2.2 states/eV/cell
total DFT energy (no corrections): -22.35 eV/cell

---

This record from the Alexandria database describes Pa6SnTe12 after structural relaxation. The functional is PBE-GGA. Values from VASP.

Quantum ESPRESSO input file:
```
&SYSTEM
  ibrav = 0, nat = 19, ntyp = 3
/
ATOMIC_SPECIES
Pa 231.04 Pa.upf
Te 127.60 Te.upf
Sn 118.71 Sn.upf
ATOMIC_POSITIONS angstrom
Pa -2.7953 -6.4313 2.3276
Te 1.4870 -2.8464 2.9195
Te -0.9159 -7.6226 0.0738
Te -1.7003 -3.8046 1.2126
Te -0.1491 -6.3915 3.8666
Te 3.6714 -2.3770 6.3102
Pa -2.8101 -2.1857 6.4745
Te 3.6849 -6.2394 2.5376
Pa -4.1207 -2.6095 2.6569
Te -0.9429 0.1022 7.6190
Pa 0.9514 -5.3347 1.2183
Te -0.1585 -3.7158 6.4802
Te -3.3458 -4.6740 4.7733
Sn 0.0000 0.0000 0.0000
Te -1.7096 -1.1288 3.8261
Te -5.5437 -1.2810 5.1551
Pa 2.2619 -4.9109 5.0359
Pa 0.9366 -1.0891 5.3652
Te -5.5302 -5.1434 1.3825
CELL_PARAMETERS angstrom
-8.8297 -1.5303 1.5351
3.5035 -8.1568 -1.9630
3.4674 2.1668 8.1206
```

Output
D(E_F): 23.2 states/eV/cell
total DFT energy (no corrections): -109.22 eV/cell
energy relative to the elements, uncorrected: -555 meV/atom

---

This record from the Alexandria database describes LiCoPt4 after structural relaxation. The functional is PBE-GGA. Values from VASP.

Quantum ESPRESSO input file:
```
&SYSTEM
  ibrav = 0, nat = 6, ntyp = 3
/
ATOMIC_SPECIES
Pt 195.08 Pt.upf
Co 58.93 Co.upf
Li 6.94 Li.upf
ATOMIC_POSITIONS angstrom
Pt 4.6184 4.6184 4.6184
Co 1.8471 1.8471 1.8471
Pt 2.7700 4.6184 2.7700
Pt 4.6184 2.7700 2.7700
Li 0.0000 0.0000 0.0000
Pt 2.7700 2.7700 4.6184
CELL_PARAMETERS angstrom
0.0000 3.6942 3.6942
3.6942 0.0000 3.6942
3.6942 3.6942 0.0000
```

Output
D(E_F): 8.0 states/eV/cell
total DFT energy (no corrections): -33.07 eV/cell

---

This record from the Alexandria database describes InGa2SiCl after structural relaxation. The functional is PBE-GGA. Values from VASP.

Quantum ESPRESSO input file:
```
&SYSTEM
  ibrav = 0, nat = 5, ntyp = 4
/
ATOMIC_SPECIES
Ga 69.72 Ga.upf
Si 28.09 Si.upf
In 114.82 In.upf
Cl 35.45 Cl.upf
ATOMIC_POSITIONS angstrom
Ga -2.0876 1.5565 0.3534
Si -1.0934 2.0848 3.8996
Ga 1.5106 1.7389 1.2647
In 0.0000 0.0000 0.0000
Cl -0.5165 -1.2106 2.2815
CELL_PARAMETERS angstrom
-4.1751 3.1130 0.7067
-1.0329 -2.4213 4.5629
3.0213 3.4779 2.5294
```

Output
D(E_F): 3.2 states/eV/cell
total DFT energy (no corrections): -12.83 eV/cell
energy relative to the elements, uncorrected: 647 meV/atom